*1*
DFT (PBE-GGA) results for HfH2O after structural relaxation.

Lattice parameters (Å, degrees): 3.120 3.120 14.610 90.00 90.00 90.00
Space group I-42d (No. 122)
Inequivalent atoms, fractional coordinates:
Hf 0.000 0.000 0.000 x4
H 0.047 0.250 0.125 x8
O 0.000 0.000 0.500 x4

Properties
D(E_F) ... 0.215 states/eV per atom
Calculated volume ... 8.89 Å³/atom



*2*
DFT (PBE-GGA) results for HfH2O after structural relaxation.

Lattice parameters (Å, degrees): 4.903 4.903 4.903 90.00 90.00 90.00
Space group Fm-3m (No. 225)
Inequivalent atoms, fractional coordinates:
Hf 0.000 0.000 0.000 x4
H 0.250 0.250 0.250 x8
O 0.000 0.000 0.500 x4

Properties
D(E_F) ... 0.104 states/eV per atom
Calculated volume ... 7.37 Å³/atom



The data favor *1*; the next most stable structure lies 163 meV/atom above it.



*1*
DFT (PBE-GGA) results for HfPHO2 after structural relaxation.

Lattice parameters (Å, degrees): 3.974 3.974 5.596 90.00 90.00 90.00
Space group P4/mmm (No. 123)
Inequivalent atoms, fractional coordinates:
Hf 0.000 0.000 0.000 x1
P 0.000 0.000 0.500 x1
H 0.500 0.500 0.500 x1
O 0.000 0.500 0.000 x2

Properties
D(E_F) ... 0.665 states/eV per atom
Calculated volume ... 17.68 Å³/atom



*2*
DFT (PBE-GGA) results for HfPHO2 after structural relaxation.

Lattice parameters (Å, degrees): 3.976 3.976 3.049 90.00 90.00 90.00
Space group P4/mmm (No. 123)
Inequivalent atoms, fractional coordinates:
Hf 0.000 0.000 0.000 x1
P 0.500 0.500 0.000 x1
H 0.500 0.500 0.500 x1
O 0.000 0.500 0.500 x2

Properties
D(E_F) ... 0.566 states/eV per atom
Calculated volume ... 9.64 Å³/atom



The data favor *1*; the next most stable structure lies 280 meV/atom above it.



*1*
DFT (PBE-GGA) results for Hf2HOs after structural relaxation.

Lattice parameters (Å, degrees): 6.357 6.357 6.357 90.00 90.00 90.00
Space group Fm-3m (No. 225)
Inequivalent atoms, fractional coordinates:
Hf 0.250 0.250 0.250 x8
H 0.000 0.000 0.000 x4
Os 0.000 0.000 0.500 x4

Properties
D(E_F) ... 0.919 states/eV per atom
Calculated volume ... 16.05 Å³/atom



*2*
DFT (PBE-GGA) results for Hf2HOs after structural relaxation.

Lattice parameters (Å, degrees): 3.2240 3.2240 20.0743 90.00 90.00 120.00
Space group R-3m (No. 166, hexagonal axes)
Inequivalent atoms, fractional coordinates:
Hf 0.0000 0.0000 0.2347 x6
H 0.0000 0.0000 0.5000 x3
Os 0.0000 0.0000 0.0000 x3

Properties
D(E_F) ... 0.746 states/eV per atom
Calculated volume ... 15.06 Å³/atom



*3*
DFT (PBE-GGA) results for Hf2HOs after structural relaxation.

Lattice parameters (Å, degrees): 6.186 6.186 6.487 90.00 90.00 90.00
Space group I-42d (No. 122)
Inequivalent atoms, fractional coordinates:
Hf 0.176 0.250 0.125 x8
H 0.000 0.000 0.000 x4
Os 0.000 0.000 0.500 x4

Properties
D(E_F) ... 0.610 states/eV per atom
Calculated volume ... 15.51 Å³/atom



The data favor *3*; the next most stable structure lies 47 meV/atom above it.



*1*
DFT (PBE-GGA) results for HfHOs3 after structural relaxation.

Lattice parameters (Å, degrees): 4.014 4.014 4.014 90.00 90.00 90.00
Space group Pm-3m (No. 221)
Inequivalent atoms, fractional coordinates:
Hf 0.000 0.000 0.000 x1
H 0.500 0.500 0.500 x1
Os 0.000 0.500 0.500 x3

Properties
D(E_F) ... 1.191 states/eV per atom
Calculated volume ... 12.94 Å³/atom



*2*
DFT (PBE-GGA) results for HfHOs3 after structural relaxation.

Lattice parameters (Å, degrees): 4.860 4.860 4.860 90.00 90.00 90.00
Space group Pm-3m (No. 221)
Inequivalent atoms, fractional coordinates:
Hf 0.000 0.000 0.000 x1
H 0.500 0.500 0.500 x1
Os 0.000 0.000 0.500 x3

Properties
D(E_F) ... 1.473 states/eV per atom
Calculated volume ... 22.96 Å³/atom



The data favor *1*; the next most stable structure lies 3125 meV/atom above it.



*1*
DFT (PBE-GGA) results for Hf2HOsPd after structural relaxation.

Lattice parameters (Å, degrees): 4.475 4.475 3.673 90.00 90.00 90.00
Space group P4/mmm (No. 123)
Inequivalent atoms, fractional coordinates:
Hf 0.000 0.500 0.000 x2
H 0.000 0.000 0.000 x1
Os 0.000 0.000 0.500 x1
Pd 0.500 0.500 0.500 x1

Properties
D(E_F) ... 0.694 states/eV per atom
Calculated volume ... 14.71 Å³/atom



*2*
DFT (PBE-GGA) results for Hf2HOsPd after structural relaxation.

Lattice parameters (Å, degrees): 4.537 4.537 3.567 90.00 90.00 90.00
Space group P4/mmm (No. 123)
Inequivalent atoms, fractional coordinates:
Hf 0.000 0.500 0.000 x2
H 0.000 0.000 0.000 x1
Os 0.500 0.500 0.500 x1
Pd 0.000 0.000 0.500 x1

Properties
D(E_F) ... 0.685 states/eV per atom
Calculated volume ... 14.68 Å³/atom



The data favor *1*; the next most stable structure lies 8 meV/atom above it.



*1*
DFT (PBE-GGA) results for Hf3PH after structural relaxation.

Lattice parameters (Å, degrees): 3.380 7.340 7.572 76.12 77.17 89.92
Space group P-1 (No. 2)
Inequivalent atoms, fractional coordinates:
Hf 0.016 0.229 0.468 x2
Hf 0.173 0.636 0.150 x2
Hf 0.348 0.989 0.808 x2
P 0.353 0.638 0.796 x2
H 0.122 0.861 0.253 x2

Properties
D(E_F) ... 0.592 states/eV per atom
Calculated volume ... 17.76 Å³/atom



*2*
DFT (PBE-GGA) results for Hf3PH after structural relaxation.

Lattice parameters (Å, degrees): 4.256 4.256 4.256 90.00 90.00 90.00
Space group Pm-3m (No. 221)
Inequivalent atoms, fractional coordinates:
Hf 0.000 0.000 0.500 x3
P 0.500 0.500 0.500 x1
H 0.000 0.000 0.000 x1

Properties
D(E_F) ... 0.672 states/eV per atom
Calculated volume ... 15.42 Å³/atom



The data favor *1*; the next most stable structure lies 182 meV/atom above it.



*1*
DFT (PBE-GGA) results for HfP3H after structural relaxation.

Lattice parameters (Å, degrees): 4.036 4.036 4.036 90.00 90.00 90.00
Space group Pm-3m (No. 221)
Inequivalent atoms, fractional coordinates:
Hf 0.000 0.000 0.000 x1
P 0.000 0.500 0.500 x3
H 0.500 0.500 0.500 x1

Properties
D(E_F) ... 0.598 states/eV per atom
Calculated volume ... 13.15 Å³/atom



*2*
DFT (PBE-GGA) results for HfP3H after structural relaxation.

Lattice parameters (Å, degrees): 4.984 4.984 4.984 90.00 90.00 90.00
Space group Pm-3m (No. 221)
Inequivalent atoms, fractional coordinates:
Hf 0.000 0.000 0.000 x1
P 0.000 0.000 0.500 x3
H 0.500 0.500 0.500 x1

Properties
D(E_F) ... 0.772 states/eV per atom
Calculated volume ... 24.76 Å³/atom



The data favor *1*; the next most stable structure lies 589 meV/atom above it.



*1*
DFT (PBE-GGA) results for HfPH after structural relaxation.

Lattice parameters (Å, degrees): 3.722 4.903 5.161 79.75 89.94 67.80
Space group P-1 (No. 2)
Inequivalent atoms, fractional coordinates:
Hf 0.188 0.125 0.258 x2
P 0.107 0.287 0.751 x2
H 0.357 0.785 0.601 x2

Properties
D(E_F) ... 0.247 states/eV per atom
Calculated volume ... 14.26 Å³/atom



*2*
DFT (PBE-GGA) results for HfPH after structural relaxation.

Lattice parameters (Å, degrees): 9.504 3.533 6.376 90.00 132.12 90.00
Space group C2/m (No. 12)
Inequivalent atoms, fractional coordinates:
Hf 0.214 0.000 0.264 x4
P 0.050 0.500 0.828 x4
H 0.169 0.000 0.545 x4

Properties
D(E_F) ... 0.021 states/eV per atom
Calculated volume ... 13.23 Å³/atom



*3*
DFT (PBE-GGA) results for HfPH after structural relaxation.

Lattice parameters (Å, degrees): 3.544 3.547 6.044 90.00 90.00 90.00
Space group Amm2 (No. 38)
Inequivalent atoms, fractional coordinates:
Hf 0.000 0.000 0.000 x2
P 0.500 0.000 0.326 x2
H 0.500 0.000 0.832 x2

Properties
D(E_F) ... 0.158 states/eV per atom
Calculated volume ... 12.66 Å³/atom



*4*
DFT (PBE-GGA) results for HfPH after structural relaxation.

Lattice parameters (Å, degrees): 3.5325 3.5325 3.4783 90.00 90.00 120.00
Space group P-6m2 (No. 187)
Inequivalent atoms, fractional coordinates:
Hf 0.0000 0.0000 0.0000 x1
P 0.3333 0.6667 0.5000 x1
H 0.6667 0.3333 0.0000 x1

Properties
D(E_F) ... 0.031 states/eV per atom
Calculated volume ... 12.53 Å³/atom



The data favor *4*; the next most stable structure lies 275 meV/atom above it.



*1*
DFT (PBE-GGA) results for HfP2HS after structural relaxation.

Lattice parameters (Å, degrees): 5.043 5.043 4.906 90.00 90.00 90.00
Space group P4/mmm (No. 123)
Inequivalent atoms, fractional coordinates:
Hf 0.000 0.000 0.000 x1
P 0.000 0.500 0.000 x2
H 0.500 0.500 0.500 x1
S 0.000 0.000 0.500 x1

Properties
D(E_F) ... 0.711 states/eV per atom
Calculated volume ... 24.95 Å³/atom



*2*
DFT (PBE-GGA) results for HfP2HS after structural relaxation.

Lattice parameters (Å, degrees): 3.643 3.643 5.175 90.00 90.00 90.00
Space group P4/mmm (No. 123)
Inequivalent atoms, fractional coordinates:
Hf 0.000 0.000 0.000 x1
P 0.000 0.500 0.500 x2
H 0.500 0.500 0.500 x1
S 0.500 0.500 0.000 x1

Properties
D(E_F) ... 0.285 states/eV per atom
Calculated volume ... 13.74 Å³/atom



The data favor *2*; the next most stable structure lies 637 meV/atom above it.



*1*
DFT (PBE-GGA) results for HfPaH after structural relaxation.

Lattice parameters (Å, degrees): 3.030 3.030 11.283 90.00 90.00 90.00
Space group I4mm (No. 107)
Inequivalent atoms, fractional coordinates:
Hf 0.000 0.000 0.000 x2
Pa 0.000 0.000 0.280 x2
H 0.000 0.000 0.482 x2

Properties
D(E_F) ... 1.098 states/eV per atom
Calculated volume ... 17.26 Å³/atom



*2*
DFT (PBE-GGA) results for HfPaH after structural relaxation.

Lattice parameters (Å, degrees): 3.2030 3.2030 5.6002 90.00 90.00 120.00
Space group P3m1 (No. 156)
Inequivalent atoms, fractional coordinates:
Hf 0.0000 0.0000 0.0000 x1
Pa 0.6667 0.3333 0.4866 x1
H 0.3333 0.6667 0.7915 x1

Properties
D(E_F) ... 1.080 states/eV per atom
Calculated volume ... 16.59 Å³/atom



*3*
DFT (PBE-GGA) results for HfPaH after structural relaxation.

Lattice parameters (Å, degrees): 3.055 3.055 21.652 90.00 90.00 90.00
Space group I4/mmm (No. 139)
Inequivalent atoms, fractional coordinates:
Hf 0.000 0.000 0.071 x4
Pa 0.000 0.000 0.312 x4
H 0.000 0.000 0.421 x4

Properties
D(E_F) ... 1.131 states/eV per atom
Calculated volume ... 16.84 Å³/atom



The data favor *2*; the next most stable structure lies 124 meV/atom above it.



*1*
DFT (PBE-GGA) results for Hf2PaH after structural relaxation.

Lattice parameters (Å, degrees): 3.003 3.003 8.017 90.00 90.00 90.00
Space group P4/mmm (No. 123)
Inequivalent atoms, fractional coordinates:
Hf 0.000 0.000 0.184 x2
Pa 0.500 0.500 0.500 x1
H 0.500 0.500 0.000 x1

Properties
D(E_F) ... 1.622 states/eV per atom
Calculated volume ... 18.07 Å³/atom



*2*
DFT (PBE-GGA) results for Hf2PaH after structural relaxation.

Lattice parameters (Å, degrees): 3.1031 3.1031 25.7193 90.00 90.00 120.00
Space group R-3m (No. 166, hexagonal axes)
Inequivalent atoms, fractional coordinates:
Hf 0.0000 0.0000 0.1155 x6
Pa 0.0000 0.0000 0.0000 x3
H 0.0000 0.0000 0.5000 x3

Properties
D(E_F) ... 1.059 states/eV per atom
Calculated volume ... 17.87 Å³/atom



The data favor *2*; the next most stable structure lies 173 meV/atom above it.



*1*
DFT (PBE-GGA) results for HfPaH2 after structural relaxation.

Lattice parameters (Å, degrees): 3.1327 3.1327 17.9969 90.00 90.00 120.00
Space group R-3m (No. 166, hexagonal axes)
Inequivalent atoms, fractional coordinates:
Hf 0.0000 0.0000 0.0000 x3
Pa 0.0000 0.0000 0.5000 x3
H 0.0000 0.0000 0.2698 x6

Properties
D(E_F) ... 1.105 states/eV per atom
Calculated volume ... 12.75 Å³/atom



*2*
DFT (PBE-GGA) results for HfPaH2 after structural relaxation.

Lattice parameters (Å, degrees): 3.1755 3.1755 17.7497 90.00 90.00 120.00
Space group R3m (No. 160, hexagonal axes)
Inequivalent atoms, fractional coordinates:
Hf 0.0000 0.0000 0.0000 x3
Pa 0.0000 0.0000 0.1748 x3
H 0.0000 0.0000 0.4044 x3
H 0.0000 0.0000 0.6039 x3

Properties
D(E_F) ... 1.073 states/eV per atom
Calculated volume ... 12.92 Å³/atom



The data favor *1*; the next most stable structure lies 114 meV/atom above it.